(1)
This record from Alexandria via LeMat-Bulk describes a relaxed MgCoI crystal. The functional is GGA-PBE.

Unit cell a=4.190 b=4.190 c=8.162 alpha=90.00 beta=90.00 gamma=120.00
Fractional coordinates of all 6 atoms:
Mg: 0.000 0.000 0.000
Mg: 0.000 0.000 0.500
Co: 0.333 0.667 0.250
Co: 0.667 0.333 0.750
I: 0.333 0.667 0.750
I: 0.667 0.333 0.250

Distance to the lowest polymorph of the same formula in meV per atom: 701
Total magnetization in μB per atom: 0.00
Raw formation energy in kJ/mol of formula units: 131
SG: P6_3/mmc, No. 194

(2)
This record from Alexandria via LeMat-Bulk describes a relaxed Y3SCl3 crystal. The functional is GGA-PBE.

Unit cell a=10.742 b=10.742 c=10.742 alpha=36.33 beta=36.33 gamma=36.33
Fractional coordinates of all 14 atoms:
Y: 0.050 0.391 0.709
Y: 0.291 0.950 0.609
Y: 0.391 0.709 0.050
Y: 0.609 0.291 0.950
Y: 0.709 0.050 0.391
Y: 0.950 0.609 0.291
S: 0.333 0.333 0.333
S: 0.667 0.667 0.667
Cl: 0.105 0.777 0.432
Cl: 0.223 0.568 0.895
Cl: 0.432 0.105 0.777
Cl: 0.568 0.895 0.223
Cl: 0.777 0.432 0.105
Cl: 0.895 0.223 0.568

Total magnetization in μB per atom: 0.00
Raw formation energy in kJ/mol of formula units: -1269
SG: R-3, No. 148

(3)
This record from Alexandria via LeMat-Bulk describes a relaxed Th3AgC crystal. The functional is GGA-PBE.

Unit cell a=3.748 b=6.778 c=10.630 alpha=102.92 beta=90.00 gamma=105.98
Fractional coordinates of all 10 atoms:
Th: 0.121 0.242 0.191
Th: 0.169 0.339 0.615
Th: 0.360 0.721 0.093
Th: 0.640 0.279 0.907
Th: 0.831 0.661 0.385
Th: 0.879 0.758 0.809
Ag: 0.460 0.920 0.614
Ag: 0.540 0.080 0.386
C: 0.260 0.520 0.850
C: 0.740 0.480 0.150

Distance to the lowest polymorph of the same formula in meV per atom: 28
Total magnetization in μB per atom: 0.00
ΔE_f in eV per atom: -0.176
SG: P-1, No. 2

(4)
This record from Alexandria via LeMat-Bulk describes a relaxed PAuBr3 crystal. The functional is GGA-PBE.

Unit cell a=5.100 b=5.100 c=5.100 alpha=90.00 beta=90.00 gamma=90.00
Fractional coordinates of all 5 atoms:
P: 0.000 0.000 0.000
Au: 0.500 0.500 0.500
Br: 0.000 0.000 0.500
Br: 0.000 0.500 0.000
Br: 0.500 0.000 0.000

Distance to the lowest polymorph of the same formula in meV per atom: 0
Total magnetization in μB per atom: 0.00
Raw formation energy in kJ/mol of formula units: 177
SG: Pm-3m, No. 221

(5)
This record from Alexandria via LeMat-Bulk describes a relaxed ZnCd2Ir crystal. The functional is GGA-PBE.

Unit cell a=9.942 b=9.942 c=9.942 alpha=16.91 beta=16.91 gamma=16.91
Fractional coordinates of all 4 atoms:
Zn: 0.000 0.000 0.000
Cd: 0.520 0.520 0.520
Cd: 0.755 0.755 0.755
Ir: 0.266 0.266 0.266

Total magnetization in μB per atom: 0.05
ΔE_f in eV per atom: 0.107
SG: R3m, No. 160

(6)
This record from Alexandria via LeMat-Bulk describes a relaxed Np4Ge8Pt crystal. The functional is GGA-PBE.

Unit cell a=4.032 b=4.229 c=15.669 alpha=90.00 beta=90.00 gamma=90.00
Fractional coordinates of all 13 atoms:
Np: 0.000 0.000 0.000
Np: 0.000 0.500 0.476
Np: 0.500 0.000 0.795
Np: 0.500 0.500 0.288
Ge: 0.000 0.000 0.322
Ge: 0.000 0.000 0.614
Ge: 0.000 0.500 0.142
Ge: 0.000 0.500 0.861
Ge: 0.500 0.000 0.147
Ge: 0.500 0.000 0.435
Ge: 0.500 0.500 0.611
Ge: 0.500 0.500 0.967
Pt: 0.000 0.500 0.704

Total magnetization in μB per atom: 1.14
ΔE_f in eV per atom: -0.201
SG: Pmm2, No. 25

(7)
This record from Alexandria via LeMat-Bulk describes a relaxed KBa2NiHg crystal. The functional is GGA-PBE.

Unit cell a=6.108 b=6.108 c=5.309 alpha=90.00 beta=90.00 gamma=90.00
Fractional coordinates of all 5 atoms:
K: 0.000 0.000 0.000
Ba: 0.000 0.500 0.500
Ba: 0.500 0.000 0.500
Ni: 0.500 0.500 0.500
Hg: 0.500 0.500 0.000

Total magnetization in μB per atom: 0.00
ΔE_f in eV per atom: -0.027
SG: P4/mmm, No. 123

(8)
This record from Alexandria via LeMat-Bulk describes a relaxed Ag2Bi2Se3 crystal. The functional is GGA-PBE.

Unit cell a=6.899 b=6.899 c=7.133 alpha=102.81 beta=102.81 gamma=34.03
Fractional coordinates of all 7 atoms:
Ag: 0.073 0.073 0.178
Ag: 0.927 0.927 0.822
Bi: 0.383 0.383 0.183
Bi: 0.617 0.617 0.817
Se: 0.000 0.000 0.500
Se: 0.280 0.280 0.781
Se: 0.720 0.720 0.219

Total magnetization in μB per atom: 0.00
Raw formation energy in kJ/mol of formula units: -84
SG: C2/m, No. 12

(9)
This record from Alexandria via LeMat-Bulk describes a relaxed NdSn4Hg crystal. The functional is GGA-PBE.

Unit cell a=6.198 b=6.198 c=6.198 alpha=60.00 beta=60.00 gamma=60.00
Fractional coordinates of all 6 atoms:
Nd: 0.000 0.000 0.000
Sn: 0.125 0.625 0.625
Sn: 0.625 0.125 0.625
Sn: 0.625 0.625 0.125
Sn: 0.625 0.625 0.625
Hg: 0.250 0.250 0.250

Total magnetization in μB per atom: 0.00
ΔE_f in eV per atom: -0.213
SG: F-43m, No. 216

(10)
This record from Alexandria via LeMat-Bulk describes a relaxed NpCdP2 crystal. The functional is GGA-PBE.

Unit cell a=6.661 b=6.661 c=6.661 alpha=34.98 beta=34.98 gamma=34.98
Fractional coordinates of all 4 atoms:
Np: 0.000 0.000 0.000
Cd: 0.824 0.824 0.824
P: 0.410 0.410 0.410
P: 0.589 0.589 0.589

Distance to the lowest polymorph of the same formula in meV per atom: 17
Total magnetization in μB per atom: 0.75
ΔE_f in eV per atom: -0.337
SG: R3m, No. 160

(11)
This record from Alexandria via LeMat-Bulk describes a relaxed PmSi2HO6 crystal. The functional is GGA-PBE.

Unit cell a=7.041 b=7.041 c=5.379 alpha=109.93 beta=109.93 gamma=81.75
Fractional coordinates of all 20 atoms:
Pm: 0.146 0.854 0.750
Pm: 0.854 0.146 0.250
Si: 0.240 0.383 0.844
Si: 0.383 0.240 0.344
Si: 0.617 0.760 0.656
Si: 0.760 0.617 0.156
H: 0.290 0.710 0.250
H: 0.710 0.290 0.750
O: 0.078 0.204 0.689
O: 0.193 0.619 0.006
O: 0.204 0.078 0.189
O: 0.299 0.417 0.585
O: 0.381 0.807 0.494
O: 0.417 0.299 0.085
O: 0.583 0.701 0.915
O: 0.619 0.193 0.506
O: 0.701 0.583 0.415
O: 0.796 0.922 0.811
O: 0.807 0.381 0.994
O: 0.922 0.796 0.311

Total magnetization in μB per atom: 0.00
Raw total energy in eV/atom: -7.4826
SG: C2/c, No. 15

(12)
This record from Alexandria via LeMat-Bulk describes a relaxed Sm3ErRh8 crystal. The functional is GGA-PBE.

Unit cell a=9.301 b=9.301 c=9.301 alpha=33.55 beta=33.55 gamma=33.55
Fractional coordinates of all 12 atoms:
Sm: 0.000 0.000 0.000
Sm: 0.125 0.125 0.125
Sm: 0.625 0.625 0.625
Er: 0.500 0.500 0.500
Rh: 0.062 0.062 0.561
Rh: 0.062 0.561 0.062
Rh: 0.064 0.563 0.563
Rh: 0.312 0.312 0.312
Rh: 0.561 0.062 0.062
Rh: 0.563 0.064 0.563
Rh: 0.563 0.563 0.064
Rh: 0.813 0.813 0.813

Total magnetization in μB per atom: 0.00
ΔE_f in eV per atom: -0.709
SG: R3m, No. 160

(13)
This record from Alexandria via LeMat-Bulk describes a relaxed ErZnSn2 crystal. The functional is GGA-PBE.

Unit cell a=5.733 b=5.733 c=5.733 alpha=48.67 beta=48.67 gamma=48.67
Fractional coordinates of all 4 atoms:
Er: 0.000 0.000 0.000
Zn: 0.500 0.500 0.500
Sn: 0.229 0.229 0.229
Sn: 0.771 0.771 0.771

Total magnetization in μB per atom: 0.00
ΔE_f in eV per atom: -0.170
SG: R-3m, No. 166

(14)
This record from Alexandria via LeMat-Bulk describes a relaxed CsBa2PmI8 crystal. The functional is GGA-PBE.

Unit cell a=7.744 b=8.008 c=10.723 alpha=90.02 beta=90.06 gamma=90.17
Fractional coordinates of all 12 atoms:
Cs: 0.000 0.000 0.000
Ba: 0.500 0.500 0.253
Ba: 0.500 0.500 0.747
Pm: 0.000 0.000 0.500
I: 0.236 0.850 0.295
I: 0.237 0.851 0.705
I: 0.240 0.325 0.500
I: 0.255 0.395 0.000
I: 0.745 0.605 0.000
I: 0.760 0.675 0.500
I: 0.763 0.149 0.295
I: 0.764 0.150 0.705

Total magnetization in μB per atom: 0.00
Raw formation energy in kJ/mol of formula units: -1833
SG: P-1, No. 2

(15)
This record from Alexandria via LeMat-Bulk describes a relaxed CsMgInF6 crystal. The functional is GGA-PBE.

Unit cell a=7.648 b=7.648 c=7.648 alpha=121.26 beta=118.27 gamma=90.43
Fractional coordinates of all 18 atoms:
Cs: 0.345 0.095 0.250
Cs: 0.655 0.905 0.750
Mg: 0.000 0.000 0.500
Mg: 0.000 0.500 0.000
In: 0.000 0.500 0.500
In: 0.500 0.500 0.000
F: 0.052 0.802 0.250
F: 0.056 0.416 0.229
F: 0.056 0.827 0.641
F: 0.314 0.173 0.729
F: 0.314 0.584 0.141
F: 0.333 0.583 0.750
F: 0.667 0.417 0.250
F: 0.686 0.416 0.859
F: 0.686 0.827 0.271
F: 0.944 0.173 0.359
F: 0.944 0.584 0.771
F: 0.948 0.198 0.750

Total magnetization in μB per atom: 0.01
Raw formation energy in kJ/mol of formula units: -2589
SG: Imma, No. 74

(16)
This record from Alexandria via LeMat-Bulk describes a relaxed ZrZn2Tc crystal. The functional is GGA-PBE.

Unit cell a=2.746 b=4.195 c=5.585 alpha=90.00 beta=91.05 gamma=90.00
Fractional coordinates of all 4 atoms:
Zr: 0.000 0.000 0.000
Zn: 0.497 0.500 0.726
Zn: 0.503 0.500 0.274
Tc: 0.000 0.000 0.500

Distance to the lowest polymorph of the same formula in meV per atom: 97
Total magnetization in μB per atom: 0.00
ΔE_f in eV per atom: -0.123
SG: P2/m, No. 10

(17)
This record from Alexandria via LeMat-Bulk describes a relaxed ZrMn2I crystal. The functional is GGA-PBE.

Unit cell a=6.141 b=6.141 c=6.141 alpha=102.35 beta=102.35 gamma=124.91
Fractional coordinates of all 8 atoms:
Zr: 0.000 0.000 0.000
Zr: 0.750 0.250 0.500
Mn: 0.140 0.125 0.515
Mn: 0.375 0.860 0.985
Mn: 0.610 0.625 0.485
Mn: 0.875 0.390 0.015
I: 0.250 0.750 0.500
I: 0.500 0.500 0.000

Distance to the lowest polymorph of the same formula in meV per atom: 0
Total magnetization in μB per atom: 1.75
Raw formation energy in kJ/mol of formula units: 236
SG: I-42d, No. 122

(18)
This record from Alexandria via LeMat-Bulk describes a relaxed PrSmHo6 crystal. The functional is GGA-PBE.

Unit cell a=6.096 b=6.096 c=8.530 alpha=102.45 beta=102.45 gamma=67.15
Fractional coordinates of all 8 atoms:
Pr: 0.000 0.000 0.000
Sm: 0.000 0.000 0.500
Ho: 0.061 0.543 0.201
Ho: 0.375 0.375 0.576
Ho: 0.457 0.939 0.799
Ho: 0.543 0.061 0.201
Ho: 0.625 0.625 0.424
Ho: 0.939 0.457 0.799

Distance to the lowest polymorph of the same formula in meV per atom: 218
Total magnetization in μB per atom: 0.00
ΔE_f in eV per atom: 0.367
SG: C2/m, No. 12

(19)
This record from Alexandria via LeMat-Bulk describes a relaxed TbFe4Mo crystal. The functional is GGA-PBE.

Unit cell a=4.942 b=4.942 c=4.942 alpha=60.00 beta=60.00 gamma=60.00
Fractional coordinates of all 6 atoms:
Tb: 0.000 0.000 0.000
Fe: 0.376 0.376 0.376
Fe: 0.376 0.376 0.872
Fe: 0.376 0.872 0.376
Fe: 0.872 0.376 0.376
Mo: 0.750 0.750 0.750

Total magnetization in μB per atom: 1.01
ΔE_f in eV per atom: 0.123
SG: F-43m, No. 216

(20)
This record from Alexandria via LeMat-Bulk describes a relaxed BaNaLi2Ag crystal. The functional is GGA-PBE.

Unit cell a=5.397 b=5.397 c=6.299 alpha=90.00 beta=90.00 gamma=90.00
Fractional coordinates of all 5 atoms:
Ba: 0.000 0.000 0.000
Na: 0.500 0.500 0.000
Li: 0.000 0.500 0.500
Li: 0.500 0.000 0.500
Ag: 0.000 0.000 0.500

Distance to the lowest polymorph of the same formula in meV per atom: 47
Total magnetization in μB per atom: 0.00
ΔE_f in eV per atom: 0.079
SG: P4/mmm, No. 123